Density functional theory data (GGA-PBEsol) for crystalline CaCoSi3 at its relaxed geometry.

Computed properties:
- Formation energy without anion corrections: 2.07 eV per atom

Unit cell a=5.016 b=5.016 c=5.016 alpha=90.00 beta=90.00 gamma=90.00
Space group Pm-3m (No. 221)
Inequivalent atoms, fractional coordinates:
Ca: 0.000 0.000 0.000 x1
Co: 0.500 0.500 0.500 x1
Si: 0.000 0.000 0.500 x3



Density functional theory data (GGA-PBEsol) for crystalline P2PbSe at its relaxed geometry.

Computed properties:
- ΔE to the lowest computed polymorph: 297 meV per atom
- Formation energy without anion corrections: 0.52 eV per atom

Unit cell a=3.433 b=4.720 c=4.880 alpha=90.00 beta=90.00 gamma=90.00
Space group Pmmm (No. 47)
Inequivalent atoms, fractional coordinates:
P: 0.000 0.000 0.000 x1
P: 0.500 0.000 0.500 x1
Pb: 0.000 0.500 0.500 x1
Se: 0.500 0.500 0.000 x1



Density functional theory data (GGA-PBEsol) for crystalline CaP2Rh2 at its relaxed geometry.

Computed properties:
- Formation energy from the elements: -5.1 eV/f.u.

Unit cell a=3.977 b=3.977 c=9.628 alpha=90.00 beta=90.00 gamma=90.00
Space group I4/mmm (No. 139)
Inequivalent atoms, fractional coordinates:
Ca: 0.000 0.000 0.000 x2
P: 0.000 0.000 0.384 x4
Rh: 0.000 0.500 0.250 x4



Density functional theory data (GGA-PBEsol) for crystalline Na3SrGe at its relaxed geometry.

Computed properties:
- Formation energy from the elements: 0.5 eV/f.u.

Unit cell a=5.608 b=5.608 c=5.608 alpha=90.00 beta=90.00 gamma=90.00
Space group Pm-3m (No. 221)
Inequivalent atoms, fractional coordinates:
Na: 0.000 0.000 0.500 x3
Sr: 0.500 0.500 0.500 x1
Ge: 0.000 0.000 0.000 x1



Density functional theory data (GGA-PBEsol) for crystalline AlCoP2S at its relaxed geometry.

Computed properties:
- Formation energy without anion corrections: 0.99 eV per atom

Unit cell a=4.520 b=4.520 c=4.510 alpha=90.00 beta=90.00 gamma=90.00
Space group P4/mmm (No. 123)
Inequivalent atoms, fractional coordinates:
Al: 0.000 0.000 0.000 x1
Co: 0.500 0.500 0.500 x1
P: 0.000 0.500 0.000 x2
S: 0.000 0.000 0.500 x1



Density functional theory data (GGA-PBEsol) for crystalline SrTe2NF at its relaxed geometry.

Computed properties:
- Formation energy without anion corrections: 0.00 eV per atom

Unit cell a=4.693 b=4.693 c=5.197 alpha=90.00 beta=90.00 gamma=90.00
Space group P4/mmm (No. 123)
Inequivalent atoms, fractional coordinates:
Sr: 0.000 0.000 0.000 x1
Te: 0.000 0.500 0.500 x2
N: 0.500 0.500 0.000 x1
F: 0.500 0.500 0.500 x1



Density functional theory data (GGA-PBEsol) for crystalline GaPI2 at its relaxed geometry.

Computed properties:
- Formation energy without anion corrections: 0.45 eV per atom

Unit cell a=5.595 b=5.595 c=17.507 alpha=90.00 beta=90.00 gamma=90.00
Space group I-42d (No. 122)
Inequivalent atoms, fractional coordinates:
Ga: 0.000 0.000 0.000 x4
P: 0.000 0.000 0.500 x4
I: 0.201 0.250 0.625 x8



Density functional theory data (GGA-PBEsol) for crystalline Cr3Se5 at its relaxed geometry.

Computed properties:
- Formation energy without anion corrections: 0.17 eV per atom

Unit cell a=6.648 b=9.831 c=4.232 alpha=90.00 beta=90.00 gamma=90.00
Space group Cmmm (No. 65)
Inequivalent atoms, fractional coordinates:
Cr: 0.000 0.000 0.000 x2
Cr: 0.000 0.198 0.500 x4
Se: 0.000 0.500 0.000 x2
Se: 0.218 0.000 0.500 x4
Se: 0.250 0.250 0.000 x4



Density functional theory data (GGA-PBEsol) for crystalline Be2CoCu at its relaxed geometry.

Computed properties:
- Formation energy from the elements: -0.3 eV/f.u.

Unit cell a=2.629 b=2.629 c=5.251 alpha=90.00 beta=90.00 gamma=90.00
Space group P4mm (No. 99)
Inequivalent atoms, fractional coordinates:
Be: 0.000 0.000 0.000 x1
Be: 0.500 0.500 0.233 x1
Co: 0.000 0.000 0.444 x1
Cu: 0.500 0.500 0.751 x1



Density functional theory data (GGA-PBEsol) for crystalline KTeCN2 at its relaxed geometry.

Computed properties:
- ΔE to the lowest computed polymorph: 1175 meV per atom
- Formation energy without anion corrections: 3.44 eV per atom

Unit cell a=4.676 b=4.676 c=6.842 alpha=90.00 beta=90.00 gamma=90.00
Space group P4/mmm (No. 123)
Inequivalent atoms, fractional coordinates:
K: 0.000 0.000 0.000 x1
Te: 0.000 0.000 0.500 x1
C: 0.500 0.500 0.500 x1
N: 0.000 0.500 0.000 x2



Density functional theory data (GGA-PBEsol) for crystalline AlCoSb2Br at its relaxed geometry.

Computed properties:
- Formation energy without anion corrections: 1.07 eV per atom

Unit cell a=5.570 b=5.570 c=4.180 alpha=90.00 beta=90.00 gamma=90.00
Space group P4/mmm (No. 123)
Inequivalent atoms, fractional coordinates:
Al: 0.000 0.000 0.000 x1
Co: 0.500 0.500 0.000 x1
Sb: 0.000 0.500 0.500 x2
Br: 0.500 0.500 0.500 x1



Density functional theory data (GGA-PBEsol) for crystalline Pd2RhF at its relaxed geometry.

Computed properties:
- Formation energy without anion corrections: 0.17 eV per atom

Unit cell a=5.984 b=5.984 c=5.984 alpha=90.00 beta=90.00 gamma=90.00
Space group Fm-3m (No. 225)
Inequivalent atoms, fractional coordinates:
Pd: 0.250 0.250 0.250 x8
Rh: 0.000 0.000 0.000 x4
F: 0.000 0.000 0.500 x4



Number 1: DOS at the Fermi energy 7.3 states/eV/cell. Number 2: DOS at the Fermi energy 2.7 states/eV/cell. Number 3: DOS at the Fermi energy 5.9 states/eV/cell. Number 4: DOS at the Fermi energy 2.0 states/eV/cell. Number 5: DOS at the Fermi energy 6.8 states/eV/cell. Number 6: DOS at the Fermi energy 2.6 states/eV/cell. Number 7: DOS at the Fermi energy 5.3 states/eV/cell. Number 8: DOS at the Fermi energy 8.9 states/eV/cell. Number 9: DOS at the Fermi energy 2.1 states/eV/cell. Number 10: DOS at the Fermi energy 4.0 states/eV/cell. Number 11: DOS at the Fermi energy 5.2 states/eV/cell. Number 12: DOS at the Fermi energy 23.1 states/eV/cell.